# 1
! CuB2Rh4 (PBE, optimized geometry); values from VASP
! VASP energy	-6.71	eV/atom
! symmetry	Fddd, No. 70
! V	181	Å³/cell
&SYSTEM
  ibrav = 0, nat = 14, ntyp = 3
/
ATOMIC_SPECIES
Cu 63.55 Cu.upf
B 10.81 B.upf
Rh 102.91 Rh.upf
CELL_PARAMETERS angstrom
0.000 4.031 5.906
3.794 0.000 5.906
3.794 4.031 0.000
ATOMIC_POSITIONS crystal
Cu 0.125 0.125 0.125
Cu 0.875 0.875 0.875
B 0.000 0.500 0.500
B 0.500 0.000 0.500
B 0.500 0.500 0.000
B 0.500 0.500 0.500
Rh 0.187 0.709 0.312
Rh 0.291 0.813 0.707
Rh 0.293 0.312 0.709
Rh 0.312 0.293 0.187
Rh 0.688 0.707 0.813
Rh 0.707 0.688 0.291
Rh 0.709 0.187 0.293
Rh 0.813 0.291 0.688

---

# 2
! CuB2Rh2 (PBE, optimized geometry); values from VASP
! relative energy among the computed polymorphs	12	meV/atom
! symmetry	P4/mbm, No. 127
! V	104	Å³/cell
&SYSTEM
  ibrav = 0, nat = 10, ntyp = 3
/
ATOMIC_SPECIES
Cu 63.55 Cu.upf
B 10.81 B.upf
Rh 102.91 Rh.upf
CELL_PARAMETERS angstrom
6.161 0.000 0.000
0.000 6.161 0.000
0.000 0.000 2.732
ATOMIC_POSITIONS crystal
Cu 0.000 0.000 0.000
Cu 0.500 0.500 0.000
B 0.138 0.362 0.000
B 0.362 0.862 0.000
B 0.638 0.138 0.000
B 0.862 0.638 0.000
Rh 0.157 0.657 0.500
Rh 0.343 0.157 0.500
Rh 0.657 0.843 0.500
Rh 0.843 0.343 0.500

---

# 3
! CuBRh2 (PBE, optimized geometry); values from VASP
! VASP energy	-6.39	eV/atom
! symmetry	I-42d, No. 122
! V	101	Å³/cell
&SYSTEM
  ibrav = 0, nat = 8, ntyp = 3
/
ATOMIC_SPECIES
Cu 63.55 Cu.upf
B 10.81 B.upf
Rh 102.91 Rh.upf
CELL_PARAMETERS angstrom
-3.260 3.260 2.383
3.260 -3.260 2.383
3.260 3.260 -2.383
ATOMIC_POSITIONS crystal
Cu 0.000 0.000 0.000
Cu 0.750 0.250 0.500
B 0.250 0.750 0.500
B 0.500 0.500 0.000
Rh 0.210 0.625 0.085
Rh 0.375 0.460 0.585
Rh 0.540 0.125 0.915
Rh 0.875 0.790 0.415

---

# 4
! CuBRh2 (PBE, optimized geometry); values from VASP
! VASP energy	-6.60	eV/atom
! symmetry	Cmcm, No. 63
! V	96	Å³/cell
&SYSTEM
  ibrav = 0, nat = 8, ntyp = 3
/
ATOMIC_SPECIES
Cu 63.55 Cu.upf
B 10.81 B.upf
Rh 102.91 Rh.upf
CELL_PARAMETERS angstrom
1.457 -5.810 0.000
1.457 5.810 0.000
0.000 0.000 5.645
ATOMIC_POSITIONS crystal
Cu 0.001 0.999 0.750
Cu 0.999 0.001 0.250
B 0.206 0.794 0.750
B 0.794 0.206 0.250
Rh 0.351 0.649 0.506
Rh 0.351 0.649 0.994
Rh 0.649 0.351 0.006
Rh 0.649 0.351 0.494

---

# 5
! CuB5Rh6 (PBE, optimized geometry); values from VASP
! VASP energy	-7.03	eV/atom
! symmetry	P-1, No. 2
! V	140	Å³/cell
&SYSTEM
  ibrav = 0, nat = 12, ntyp = 3
/
ATOMIC_SPECIES
Cu 63.55 Cu.upf
B 10.81 B.upf
Rh 102.91 Rh.upf
CELL_PARAMETERS angstrom
5.293 0.000 0.000
-1.383 5.115 0.000
-1.360 -1.790 5.171
ATOMIC_POSITIONS crystal
Cu 0.000 0.000 0.000
B 0.107 0.892 0.500
B 0.287 0.713 0.001
B 0.500 0.500 0.500
B 0.713 0.287 0.999
B 0.893 0.108 0.500
Rh 0.140 0.544 0.252
Rh 0.317 0.317 0.737
Rh 0.455 0.859 0.748
Rh 0.545 0.141 0.252
Rh 0.683 0.683 0.263
Rh 0.860 0.456 0.748

---

# 6
! Cu2BRh2 (PBE, optimized geometry); values from VASP
! relative energy among the computed polymorphs	76	meV/atom
! symmetry	P4/mbm, No. 127
! V	129	Å³/cell
&SYSTEM
  ibrav = 0, nat = 10, ntyp = 3
/
ATOMIC_SPECIES
Cu 63.55 Cu.upf
B 10.81 B.upf
Rh 102.91 Rh.upf
CELL_PARAMETERS angstrom
5.535 0.000 0.000
0.000 5.535 0.000
0.000 0.000 4.223
ATOMIC_POSITIONS crystal
Cu 0.158 0.342 0.000
Cu 0.342 0.842 0.000
Cu 0.658 0.158 0.000
Cu 0.842 0.658 0.000
B 0.000 0.000 0.500
B 0.500 0.500 0.500
Rh 0.162 0.662 0.500
Rh 0.338 0.162 0.500
Rh 0.662 0.838 0.500
Rh 0.838 0.338 0.500

---

# 7
! Cu2BRh2 (PBE, optimized geometry); values from VASP
! relative energy among the computed polymorphs	0	meV/atom
! symmetry	P2_1/c, No. 14
! V	243	Å³/cell
&SYSTEM
  ibrav = 0, nat = 20, ntyp = 3
/
ATOMIC_SPECIES
Cu 63.55 Cu.upf
B 10.81 B.upf
Rh 102.91 Rh.upf
CELL_PARAMETERS angstrom
7.277 0.000 0.000
0.000 5.625 0.000
-1.013 0.000 5.947
ATOMIC_POSITIONS crystal
Cu 0.059 0.057 0.182
Cu 0.059 0.443 0.682
Cu 0.267 0.209 0.932
Cu 0.267 0.291 0.432
Cu 0.733 0.709 0.568
Cu 0.733 0.791 0.068
Cu 0.941 0.557 0.318
Cu 0.941 0.943 0.818
B 0.339 0.654 0.405
B 0.339 0.846 0.905
B 0.661 0.154 0.095
B 0.661 0.346 0.595
Rh 0.183 0.627 0.075
Rh 0.183 0.873 0.575
Rh 0.454 0.548 0.745
Rh 0.454 0.952 0.245
Rh 0.546 0.048 0.755
Rh 0.546 0.452 0.255
Rh 0.817 0.127 0.425
Rh 0.817 0.373 0.925

---

# 8
! CuB3Rh (PBE, optimized geometry); values from VASP
! relative energy among the computed polymorphs	281	meV/atom
! symmetry	Pm-3m, No. 221
! V	54	Å³/cell
&SYSTEM
  ibrav = 0, nat = 5, ntyp = 3
/
ATOMIC_SPECIES
Cu 63.55 Cu.upf
B 10.81 B.upf
Rh 102.91 Rh.upf
CELL_PARAMETERS angstrom
3.770 0.000 0.000
0.000 3.770 0.000
0.000 0.000 3.770
ATOMIC_POSITIONS crystal
Cu 0.000 0.000 0.000
B 0.000 0.000 0.500
B 0.000 0.500 0.000
B 0.500 0.000 0.000
Rh 0.500 0.500 0.500

---

# 9
! CuB2Rh2 (PBE, optimized geometry); values from VASP
! relative energy among the computed polymorphs	0	meV/atom
! symmetry	Cmmm, No. 65
! V	52	Å³/cell
&SYSTEM
  ibrav = 0, nat = 5, ntyp = 3
/
ATOMIC_SPECIES
Cu 63.55 Cu.upf
B 10.81 B.upf
Rh 102.91 Rh.upf
CELL_PARAMETERS angstrom
1.653 -5.293 0.000
1.653 5.293 0.000
0.000 0.000 2.994
ATOMIC_POSITIONS crystal
Cu 0.000 0.000 0.000
B 0.204 0.796 0.000
B 0.796 0.204 0.000
Rh 0.357 0.643 0.500
Rh 0.643 0.357 0.500

---

# 10
! CuB3Rh (PBE, optimized geometry); values from VASP
! relative energy among the computed polymorphs	0	meV/atom
! symmetry	Pm-3m, No. 221
! V	66	Å³/cell
&SYSTEM
  ibrav = 0, nat = 5, ntyp = 3
/
ATOMIC_SPECIES
Cu 63.55 Cu.upf
B 10.81 B.upf
Rh 102.91 Rh.upf
CELL_PARAMETERS angstrom
4.037 0.000 0.000
0.000 4.037 0.000
0.000 0.000 4.037
ATOMIC_POSITIONS crystal
Cu 0.000 0.000 0.000
B 0.000 0.500 0.500
B 0.500 0.000 0.500
B 0.500 0.500 0.000
Rh 0.500 0.500 0.500

---

# 11
! Cu2BRh (PBE, optimized geometry); values from VASP
! VASP energy	-5.15	eV/atom
! symmetry	I-42d, No. 122
! V	95	Å³/cell
&SYSTEM
  ibrav = 0, nat = 8, ntyp = 3
/
ATOMIC_SPECIES
Cu 63.55 Cu.upf
B 10.81 B.upf
Rh 102.91 Rh.upf
CELL_PARAMETERS angstrom
-1.618 1.618 9.075
1.618 -1.618 9.075
1.618 1.618 -9.075
ATOMIC_POSITIONS crystal
Cu 0.118 0.625 0.993
Cu 0.375 0.368 0.493
Cu 0.632 0.125 0.007
Cu 0.875 0.882 0.507
B 0.000 0.000 0.000
B 0.750 0.250 0.500
Rh 0.250 0.750 0.500
Rh 0.500 0.500 0.000

---

# 12
! Cu2B2Rh3 (PBE, optimized geometry); values from VASP
! VASP energy	-6.34	eV/atom
! symmetry	P-1, No. 2
! V	85	Å³/cell
&SYSTEM
  ibrav = 0, nat = 7, ntyp = 3
/
ATOMIC_SPECIES
Cu 63.55 Cu.upf
B 10.81 B.upf
Rh 102.91 Rh.upf
CELL_PARAMETERS angstrom
2.932 0.000 0.000
1.464 5.067 0.000
1.461 0.417 5.703
ATOMIC_POSITIONS crystal
Cu 0.149 0.028 0.173
Cu 0.851 0.972 0.827
B 0.100 0.575 0.726
B 0.900 0.425 0.274
Rh 0.366 0.268 0.501
Rh 0.500 0.500 0.000
Rh 0.634 0.732 0.499

---

# 13
! CuBRh2 (PBE, optimized geometry); values from VASP
! VASP energy	-6.54	eV/atom
! symmetry	Pnma, No. 62
! V	190	Å³/cell
&SYSTEM
  ibrav = 0, nat = 16, ntyp = 3
/
ATOMIC_SPECIES
Cu 63.55 Cu.upf
B 10.81 B.upf
Rh 102.91 Rh.upf
CELL_PARAMETERS angstrom
5.752 0.000 0.000
0.000 5.749 0.000
0.000 0.000 5.754
ATOMIC_POSITIONS crystal
Cu 0.003 0.250 0.005
Cu 0.497 0.750 0.505
Cu 0.503 0.250 0.495
Cu 0.997 0.750 0.995
B 0.113 0.250 0.619
B 0.387 0.750 0.119
B 0.613 0.250 0.881
B 0.887 0.750 0.381
Rh 0.165 0.000 0.330
Rh 0.165 0.500 0.330
Rh 0.335 0.000 0.830
Rh 0.335 0.500 0.830
Rh 0.665 0.000 0.170
Rh 0.665 0.500 0.170
Rh 0.835 0.000 0.670
Rh 0.835 0.500 0.670

---

# 14
! Cu2BRuRh (PBE, optimized geometry); values from VASP
! relative energy among the computed polymorphs	0	meV/atom
! symmetry	P4/mmm, No. 123
! V	64	Å³/cell
&SYSTEM
  ibrav = 0, nat = 5, ntyp = 4
/
ATOMIC_SPECIES
Cu 63.55 Cu.upf
B 10.81 B.upf
Ru 101.07 Ru.upf
Rh 102.91 Rh.upf
CELL_PARAMETERS angstrom
3.986 0.000 0.000
0.000 3.986 0.000
0.000 0.000 4.007
ATOMIC_POSITIONS crystal
Cu 0.000 0.500 0.000
Cu 0.500 0.000 0.000
B 0.000 0.000 0.000
Ru 0.500 0.500 0.500
Rh 0.000 0.000 0.500

---

# 15
! Cu2BRuRh (PBE, optimized geometry); values from VASP
! relative energy among the computed polymorphs	1628	meV/atom
! symmetry	P4/mmm, No. 123
! V	98	Å³/cell
&SYSTEM
  ibrav = 0, nat = 5, ntyp = 4
/
ATOMIC_SPECIES
Cu 63.55 Cu.upf
B 10.81 B.upf
Ru 101.07 Ru.upf
Rh 102.91 Rh.upf
CELL_PARAMETERS angstrom
4.634 0.000 0.000
0.000 4.634 0.000
0.000 0.000 4.556
ATOMIC_POSITIONS crystal
Cu 0.000 0.500 0.000
Cu 0.500 0.000 0.000
B 0.000 0.000 0.500
Ru 0.500 0.500 0.500
Rh 0.500 0.500 0.000

---

# 16
! Sc2Cu2BRh4 (PBE, optimized geometry); values from VASP
! VASP energy	-7.02	eV/atom
! symmetry	I4/mmm, No. 139
! V	126	Å³/cell
&SYSTEM
  ibrav = 0, nat = 9, ntyp = 4
/
ATOMIC_SPECIES
Sc 44.96 Sc.upf
Cu 63.55 Cu.upf
B 10.81 B.upf
Rh 102.91 Rh.upf
CELL_PARAMETERS angstrom
-2.889 2.889 3.778
2.889 -2.889 3.778
2.889 2.889 -3.778
ATOMIC_POSITIONS crystal
Sc 0.250 0.750 0.500
Sc 0.750 0.250 0.500
Cu 0.231 0.231 0.000
Cu 0.769 0.769 0.000
B 0.500 0.500 0.000
Rh 0.247 0.247 0.493
Rh 0.247 0.753 0.000
Rh 0.753 0.247 0.000
Rh 0.753 0.753 0.507

---

# 17
! Sc2CuB2Rh5 (PBE, optimized geometry); values from VASP
! VASP energy	-7.42	eV/atom
! symmetry	P4/mbm, No. 127
! V	266	Å³/cell
&SYSTEM
  ibrav = 0, nat = 20, ntyp = 4
/
ATOMIC_SPECIES
Sc 44.96 Sc.upf
Cu 63.55 Cu.upf
B 10.81 B.upf
Rh 102.91 Rh.upf
CELL_PARAMETERS angstrom
9.286 0.000 0.000
0.000 9.286 0.000
0.000 0.000 3.085
ATOMIC_POSITIONS crystal
Sc 0.175 0.325 0.000
Sc 0.325 0.825 0.000
Sc 0.675 0.175 0.000
Sc 0.825 0.675 0.000
Cu 0.000 0.000 0.000
Cu 0.500 0.500 0.000
B 0.126 0.626 0.000
B 0.374 0.126 0.000
B 0.626 0.874 0.000
B 0.874 0.374 0.000
Rh 0.000 0.500 0.500
Rh 0.071 0.784 0.500
Rh 0.216 0.071 0.500
Rh 0.284 0.571 0.500
Rh 0.429 0.284 0.500
Rh 0.500 0.000 0.500
Rh 0.571 0.716 0.500
Rh 0.716 0.429 0.500
Rh 0.784 0.929 0.500
Rh 0.929 0.216 0.500

---

# 18
! CuBRh2Se (PBE, optimized geometry); values from VASP
! raw formation energy	1.35	eV/atom
! symmetry	P4/mmm, No. 123
! V	93	Å³/cell
&SYSTEM
  ibrav = 0, nat = 5, ntyp = 4
/
ATOMIC_SPECIES
Cu 63.55 Cu.upf
B 10.81 B.upf
Rh 102.91 Rh.upf
Se 78.96 Se.upf
CELL_PARAMETERS angstrom
4.593 0.000 0.000
0.000 4.593 0.000
0.000 0.000 4.408
ATOMIC_POSITIONS crystal
Cu 0.000 0.000 0.000
B 0.500 0.500 0.000
Rh 0.000 0.500 0.500
Rh 0.500 0.000 0.500
Se 0.000 0.000 0.500

---

# 19
! CuSn2BRh (PBE, optimized geometry); values from VASP
! VASP energy	-4.77	eV/atom
! symmetry	P4/mmm, No. 123
! V	92	Å³/cell
&SYSTEM
  ibrav = 0, nat = 5, ntyp = 4
/
ATOMIC_SPECIES
Cu 63.55 Cu.upf
Sn 118.71 Sn.upf
B 10.81 B.upf
Rh 102.91 Rh.upf
CELL_PARAMETERS angstrom
4.771 0.000 0.000
0.000 4.771 0.000
0.000 0.000 4.046
ATOMIC_POSITIONS crystal
Cu 0.000 0.000 0.000
Sn 0.000 0.500 0.500
Sn 0.500 0.000 0.500
B 0.500 0.500 0.500
Rh 0.500 0.500 0.000

---

# 20
! CuSnBRh2 (PBE, optimized geometry); values from VASP
! relative energy among the computed polymorphs	368	meV/atom
! symmetry	P4/mmm, No. 123
! V	75	Å³/cell
&SYSTEM
  ibrav = 0, nat = 5, ntyp = 4
/
ATOMIC_SPECIES
Cu 63.55 Cu.upf
Sn 118.71 Sn.upf
B 10.81 B.upf
Rh 102.91 Rh.upf
CELL_PARAMETERS angstrom
4.092 0.000 0.000
0.000 4.092 0.000
0.000 0.000 4.492
ATOMIC_POSITIONS crystal
Cu 0.000 0.000 0.000
Sn 0.500 0.500 0.000
B 0.500 0.500 0.500
Rh 0.000 0.500 0.500
Rh 0.500 0.000 0.500